The following is a DFT calculation (PBE-GGA) of an optimized crystal structure of Cs3La3HoTe8.

The space-group type is C2/m (12). The density of states at the Fermi level is 0.884 states/eV per atom. The calculation puts the formation energy from raw total energies at -1.386 eV per atom.

a b c (Å): 9.3008 9.3008 10.6069
angles (deg): 116.07 116.07 59.95
Last column: nearest neighbours and their distance in Å.
Fractional positions:
Cs: 0.0000 0.0000 0.0000  6 Te 3.85-3.87
Cs: 0.0000 0.5000 0.0000  6 Te 3.85-3.87
Cs: 0.5000 0.0000 0.0000  6 Te 3.85-3.87
La: 0.0000 0.5000 0.5000  6 Te 3.24
La: 0.5000 0.0000 0.5000  6 Te 3.24
La: 0.5000 0.5000 0.5000  6 Te 3.24
Ho: 0.0000 0.0000 0.5000  6 Te 3.11
Te: 0.2237 0.2237 0.6897  1 Ho 3.11, 2 La 3.24
Te: 0.2237 0.7425 0.6897  1 Ho 3.11, 2 La 3.24
Te: 0.2575 0.7763 0.3103  1 Ho 3.11, 2 La 3.24
Te: 0.2674 0.2674 0.3022  3 La 3.24
Te: 0.7326 0.7326 0.6978  3 La 3.24
Te: 0.7425 0.2237 0.6897  1 Ho 3.11, 2 La 3.24
Te: 0.7763 0.2575 0.3103  1 Ho 3.11, 2 La 3.24
Te: 0.7763 0.7763 0.3103  1 Ho 3.11, 2 La 3.24